Record 1
Ca5Ga2As6 at its PBEsol-relaxed geometry, computed with meta-GGA SCAN.

POSCAR file:
```
Ca5Ga2As6
1.0
11.2648 0.0000 0.0000
0.0000 13.0453 0.0000
0.0000 0.0000 4.1187
Ca Ga As
10 4 12
Direct
0.0000 0.0000 0.0000 Ca
0.0886 0.2514 0.0000 Ca
0.1740 0.5162 0.0000 Ca
0.3260 0.0162 0.0000 Ca
0.4114 0.7514 0.0000 Ca
0.5000 0.5000 0.0000 Ca
0.5886 0.2486 0.0000 Ca
0.6740 0.9838 0.0000 Ca
0.8260 0.4838 0.0000 Ca
0.9114 0.7486 0.0000 Ca
0.1716 0.7130 0.5000 Ga
0.3284 0.2130 0.5000 Ga
0.6716 0.7870 0.5000 Ga
0.8284 0.2870 0.5000 Ga
0.0209 0.4060 0.5000 As
0.1551 0.0964 0.5000 As
0.1620 0.8210 0.0000 As
0.3380 0.3210 0.0000 As
0.3449 0.5964 0.5000 As
0.4791 0.9060 0.5000 As
0.5209 0.0940 0.5000 As
0.6551 0.4036 0.5000 As
0.6620 0.6790 0.0000 As
0.8380 0.1790 0.0000 As
0.8449 0.9036 0.5000 As
0.9791 0.5940 0.5000 As
```

Output
crystal system	orthorhombic
DOS at the Fermi energy	0.10	states/eV/cell
total magnetic moment	0.000	Bohr magnetons per cell
formation enthalpy at 0 K	-1075	meV/atom

***

Record 2
Ca3CuRh at its PBEsol-relaxed geometry, computed with meta-GGA SCAN.

POSCAR file:
```
Ca3CuRh
1.0
5.3042 0.0000 0.0000
0.0000 5.3042 0.0000
0.0000 0.0000 5.3042
Ca Cu Rh
3 1 1
Direct
0.0000 0.0000 0.5000 Ca
0.0000 0.5000 0.0000 Ca
0.5000 0.0000 0.0000 Ca
0.5000 0.5000 0.5000 Cu
0.0000 0.0000 0.0000 Rh
```

Output
crystal system	cubic
DOS at the Fermi energy	3.02	states/eV/cell
total magnetic moment	0.000	Bohr magnetons per cell
formation enthalpy at 0 K	57	meV/atom

***

Record 3
In3W at its PBEsol-relaxed geometry, computed with meta-GGA SCAN.

POSCAR file:
```
In3W
1.0
2.9496 0.0000 0.0000
0.0000 5.1894 0.0000
-0.2718 0.0000 5.2619
In W
3 1
Direct
0.0000 0.0000 0.0000 In
0.2317 0.5000 0.2589 In
0.7683 0.5000 0.7411 In
0.5000 0.0000 0.5000 W
```

Output
crystal system	monoclinic
DOS at the Fermi energy	1.47	states/eV/cell
total magnetic moment	0.000	Bohr magnetons per cell
excess energy over the best structure of this formula in the dataset	42	meV per atom
formation enthalpy at 0 K	579	meV/atom

***

Record 4
LiTlCu at its PBEsol-relaxed geometry, computed with meta-GGA SCAN.

POSCAR file:
```
LiTlCu
1.0
6.1139 0.0000 0.0000
0.0000 6.1139 0.0000
0.0000 0.0000 6.1139
Li Tl Cu
4 4 4
Direct
0.0000 0.0000 0.0000 Li
0.0000 0.5000 0.5000 Li
0.5000 0.0000 0.5000 Li
0.5000 0.5000 0.0000 Li
0.0000 0.0000 0.5000 Tl
0.0000 0.5000 0.0000 Tl
0.5000 0.0000 0.0000 Tl
0.5000 0.5000 0.5000 Tl
0.2500 0.2500 0.2500 Cu
0.2500 0.7500 0.7500 Cu
0.7500 0.2500 0.7500 Cu
0.7500 0.7500 0.2500 Cu
```

Output
crystal system	cubic
DOS at the Fermi energy	4.49	states/eV/cell
total magnetic moment	0.000	Bohr magnetons per cell
excess energy over the best structure of this formula in the dataset	0	meV per atom
formation enthalpy at 0 K	57	meV/atom

***

Record 5
BaY2Tc at its PBEsol-relaxed geometry, computed with meta-GGA SCAN.

POSCAR file:
```
BaY2Tc
1.0
7.4450 0.0000 0.0000
0.0000 7.4450 0.0000
0.0000 0.0000 7.4450
Ba Y Tc
4 8 4
Direct
0.0000 0.0000 0.0000 Ba
0.0000 0.5000 0.5000 Ba
0.5000 0.0000 0.5000 Ba
0.5000 0.5000 0.0000 Ba
0.0000 0.0000 0.5000 Y
0.0000 0.5000 0.0000 Y
0.2500 0.2500 0.2500 Y
0.2500 0.7500 0.7500 Y
0.5000 0.0000 0.0000 Y
0.5000 0.5000 0.5000 Y
0.7500 0.2500 0.7500 Y
0.7500 0.7500 0.2500 Y
0.2500 0.2500 0.7500 Tc
0.2500 0.7500 0.2500 Tc
0.7500 0.2500 0.2500 Tc
0.7500 0.7500 0.7500 Tc
```

Output
crystal system	cubic
DOS at the Fermi energy	14.26	states/eV/cell
total magnetic moment	0.000	Bohr magnetons per cell
excess energy over the best structure of this formula in the dataset	209	meV per atom
formation enthalpy at 0 K	716	meV/atom

***

Record 6
Co2HgPt at its PBEsol-relaxed geometry, computed with meta-GGA SCAN.

POSCAR file:
```
Co2HgPt
1.0
5.4618 0.0000 0.0000
0.0000 7.4000 0.0000
0.0000 0.0000 2.7481
Co Hg Pt
4 2 2
Direct
0.2500 0.2500 0.0000 Co
0.2500 0.7500 0.0000 Co
0.7500 0.2500 0.0000 Co
0.7500 0.7500 0.0000 Co
0.0000 0.0000 0.5000 Hg
0.5000 0.5000 0.5000 Hg
0.0000 0.5000 0.5000 Pt
0.5000 0.0000 0.5000 Pt
```

Output
crystal system	orthorhombic
DOS at the Fermi energy	4.55	states/eV/cell
total magnetic moment	7.803	Bohr magnetons per cell
formation enthalpy at 0 K	187	meV/atom

***

> Among the records above, which one has the lowest DOS at the Fermi energy?

Ca5Ga2As6